Entry 1:
InTe2Ru, PBEsol geometry, DFT meta-GGA SCAN; symmetry = Amm2, No. 38; ΔE_f (raw) = -0.069 eV/atom; total magnetization = 0.00 μB per formula unit; Fermi-level density of states = 2.67 states/eV per cell; energy = -35.75 eV per atom
1.0
3.132 0.000 0.000
0.000 2.161 7.426
0.000 -2.161 7.426
In Te Ru
1 2 1
direct
0.000 0.000 0.000
0.000 0.666 0.666
0.500 0.345 0.345
0.500 0.525 0.525



Entry 2:
InTe2Ru, PBEsol geometry, DFT meta-GGA SCAN; symmetry = P4/mmm, No. 123; ΔE_f (raw) = 0.533 eV/atom; total magnetization = 0.00 μB per formula unit; Fermi-level density of states = 3.16 states/eV per cell; energy = -35.15 eV per atom
1.0
5.068 0.000 0.000
0.000 5.068 0.000
0.000 0.000 3.324
In Te Ru
1 2 1
direct
0.000 0.000 0.000
0.000 0.500 0.500
0.500 0.000 0.500
0.500 0.500 0.000



Entry 3:
In2TeRu, PBEsol geometry, DFT meta-GGA SCAN; symmetry = Pmmm, No. 47; ΔE_f (raw) = 0.027 eV/atom; total magnetization = 0.00 μB per formula unit; Fermi-level density of states = 1.69 states/eV per cell; energy = -34.69 eV per atom
1.0
3.150 0.000 0.000
0.000 3.193 0.000
0.000 0.000 8.761
In Te Ru
2 1 1
direct
0.000 0.000 0.180
0.000 0.000 0.820
0.000 0.500 0.500
0.500 0.500 0.000



Entry 4:
In2TeRu, PBEsol geometry, DFT meta-GGA SCAN; symmetry = P4/mmm, No. 123; ΔE_f (raw) = 0.464 eV/atom; total magnetization = 0.29 μB per formula unit; Fermi-level density of states = 1.83 states/eV per cell; energy = -34.25 eV per atom
1.0
4.690 0.000 0.000
0.000 4.690 0.000
0.000 0.000 3.762
In Te Ru
2 1 1
direct
0.000 0.500 0.000
0.500 0.000 0.000
0.000 0.000 0.500
0.500 0.500 0.500



Entry 5:
InTe2Ru, PBEsol geometry, DFT meta-GGA SCAN; symmetry = F-43m, No. 216; ΔE_f (raw) = 0.690 eV/atom; total magnetization = 0.00 μB per formula unit; Fermi-level density of states = 2.79 states/eV per cell; energy = -34.99 eV per atom
1.0
0.000 3.501 3.501
3.501 0.000 3.501
3.501 3.501 0.000
In Te Ru
1 2 1
direct
0.000 0.000 0.000
0.250 0.250 0.250
0.500 0.500 0.500
0.750 0.750 0.750



Entry 6:
InTe2Ru, PBEsol geometry, DFT meta-GGA SCAN; symmetry = I4/mmm, No. 139; ΔE_f (raw) = 0.406 eV/atom; total magnetization = 0.50 μB per formula unit; Fermi-level density of states = 2.49 states/eV per cell; energy = -35.27 eV per atom
1.0
-2.812 2.812 2.956
2.812 -2.812 2.956
2.812 2.812 -2.956
In Te Ru
1 2 1
direct
0.000 0.000 0.000
0.000 0.500 0.500
0.500 0.000 0.500
0.500 0.500 0.000